Entry 1:
B2RuAu | Alexandria | PBEsol | optimized geometry; energy above the most stable polymorph in this dataset = 0.195 eV/atom; formation energy = 0.758 eV per atom
1.0
-0.1788 -3.0858 2.3967
3.1910 -1.1520 1.9464
0.2218 0.5148 3.8709
B Au Ru
2 1 1
direct
0.7500 0.7500 0.7500
0.2500 0.2500 0.2500
0.5000 0.5000 0.5000
0.0000 0.0000 0.0000

=====

Entry 2:
NaReB2 | Alexandria | PBEsol | optimized geometry; formation energy = 1.146 eV per atom
1.0
3.9136 0.0000 0.0000
1.9568 3.3893 0.0000
1.9568 1.1298 3.1955
B Na Re
2 1 1
direct
0.2500 0.2500 0.2500
0.7500 0.7500 0.7500
0.0000 0.0000 0.0000
0.5000 0.5000 0.5000

=====

Entry 3:
AlP2Pb | Alexandria | PBEsol | optimized geometry; energy above the most stable polymorph in this dataset = 0.063 eV/atom; formation energy = -0.025 eV per atom
1.0
-1.5219 -2.2372 2.8569
3.7052 -1.3954 0.8811
1.0823 4.9619 3.3067
Al P Pb
1 2 1
direct
0.1640 0.5000 0.0006
0.0894 0.0000 0.7955
0.7073 0.5000 0.2222
0.5393 0.0000 0.4818

=====

- The highest formation energy belongs to which entry?
  NaReB2

=====

- Among the records above, which one has the highest formation energy?
  NaReB2

=====

- Which formula does entry 2 have?
  NaReB2